#a
Below is Ce2PtC after structural relaxation, with properties calculated at the PBE level.

Results
For the density of states at the Fermi level, the calculation gives 1.6703 states/eV per atom. Its space group is P2/c (13).

Unit cell a=5.6059 b=5.8532 c=10.4640 alpha=95.87 beta=90.00 gamma=90.00
Fractional coordinates of all 16 atoms:
Ce 0.2081 0.5129 0.8467
Ce 0.2616 0.4485 0.4071
Ce 0.7919 0.4871 0.1533
Ce 0.7385 0.9485 0.9071
Ce 0.2616 0.0515 0.0929
Ce 0.7919 0.0129 0.3467
Ce 0.7385 0.5515 0.5929
Ce 0.2081 0.9871 0.6533
C 0.8251 0.0765 0.1233
C 0.8251 0.4235 0.3767
C 0.1749 0.5765 0.6233
C 0.1749 0.9235 0.8767
Pt 0.2914 0.5617 0.1396
Pt 0.7086 0.0617 0.6396
Pt 0.7086 0.4383 0.8604
Pt 0.2914 0.9383 0.3604


#b
Below is Ce2PtC after structural relaxation, with properties calculated at the PBE level.

Results
For the density of states at the Fermi level, the calculation gives 1.4603 states/eV per atom. Its space group is R-3m (166).

Unit cell a=3.3436 b=3.3436 c=8.6507 alpha=78.86 beta=78.86 gamma=60.00
Fractional coordinates of all 4 atoms:
Pt 0.0000 0.0000 0.0000
C 0.5000 0.5000 0.5000
Ce 0.8926 0.8926 0.3223
Ce 0.1074 0.1074 0.6777


#c
Below is Ce2PtC after structural relaxation, with properties calculated at the PBE level.

Results
For the density of states at the Fermi level, the calculation gives 1.6544 states/eV per atom. Its space group is P4/mmm (123).

Unit cell a=3.2610 b=3.2610 c=6.8758 alpha=90.00 beta=90.00 gamma=90.00
Fractional coordinates of all 4 atoms:
Ce 0.0000 0.0000 0.7990
Ce 0.0000 0.0000 0.2010
Pt 0.5000 0.5000 0.5000
C 0.5000 0.5000 0.0000


The structure with the most favorable energy is #a; the runner-up is 0.101 eV/atom above it.


#a
Below is CeReC after structural relaxation, with properties calculated at the PBE level.

Results
For the density of states at the Fermi level, the calculation gives 0.8959 states/eV per atom. Its space group is P3m1 (156).

Unit cell a=3.1664 b=3.1664 c=5.4991 alpha=90.00 beta=90.00 gamma=120.00
Fractional coordinates of all 3 atoms:
Re 0.3333 0.6667 0.5550
Ce 0.0000 0.0000 0.0651
C 0.6667 0.3333 0.3800


#b
Below is CeReC after structural relaxation, with properties calculated at the PBE level.

Results
For the density of states at the Fermi level, the calculation gives 1.2182 states/eV per atom. Its space group is C2/m (12).

Unit cell a=3.8720 b=7.0258 c=8.6439 alpha=91.07 beta=102.94 gamma=90.00
Fractional coordinates of all 12 atoms:
C 0.6823 0.1197 0.3646
C 0.6804 0.5612 0.3608
C 0.3196 0.4388 0.6392
C 0.3177 0.8803 0.6354
Ce 0.1001 0.3821 0.2002
Ce 0.5964 0.8359 0.1928
Ce 0.8999 0.6179 0.7998
Ce 0.4036 0.1641 0.8072
Re 0.2068 0.0739 0.4136
Re 0.7606 0.3471 0.5212
Re 0.2394 0.6529 0.4788
Re 0.7932 0.9261 0.5864


#c
Below is CeReC after structural relaxation, with properties calculated at the PBE level.

Results
For the density of states at the Fermi level, the calculation gives 1.1598 states/eV per atom. Its space group is I4mm (107).

Unit cell a=2.9225 b=2.9225 c=5.5818 alpha=105.18 beta=105.18 gamma=90.00
Fractional coordinates of all 3 atoms:
Ce 0.0077 0.0077 0.0154
C 0.7107 0.7107 0.4214
Re 0.2816 0.2816 0.5633


The structure with the most favorable energy is #b; the runner-up is 0.010 eV/atom above it.